La2ScBe PBEsol relaxed; theoretical density = 5.6 g cm⁻³; energy of formation = 0.235 eV/atom
1.0
3.494 0.000 0.000
0.000 4.815 0.000
-1.747 -2.407 5.887
Sc La Be
1 2 1
direct
0.500 0.000 0.000
0.703 0.703 0.405
0.297 0.297 0.595
0.000 0.500 0.000